Record 1
Entry from the Alexandria database: a relaxed YTa2Ag crystal (PBE).

Unit cell a=3.1084 b=3.1084 c=29.8652 alpha=90.00 beta=90.00 gamma=120.00
Fractional coordinates of all 12 atoms:
Y 0.0000 0.0000 0.0000
Y 0.3333 0.6667 0.6667
Y 0.6667 0.3333 0.3333
Ta 0.0000 0.0000 0.2461
Ta 0.0000 0.0000 0.5023
Ta 0.3333 0.6667 0.1690
Ta 0.3333 0.6667 0.9128
Ta 0.6667 0.3333 0.5795
Ta 0.6667 0.3333 0.8356
Ag 0.0000 0.0000 0.7570
Ag 0.3333 0.6667 0.4236
Ag 0.6667 0.3333 0.0903

Summary:
- relative energy among the computed polymorphs (eV per atom) = 0.185
- formation energy from the elements (eV/atom) = 0.367
- SG = No. 160


Record 2
Entry from the Alexandria database: a relaxed Th8FeCo2 crystal (PBE).

Unit cell a=9.2209 b=9.2209 c=8.7552 alpha=95.04 beta=95.04 gamma=23.21
Fractional coordinates of all 11 atoms:
Th 0.0132 0.0132 0.2079
Th 0.2190 0.2190 0.3351
Th 0.3396 0.3396 0.0254
Th 0.4056 0.4056 0.4664
Th 0.5944 0.5944 0.5336
Th 0.6604 0.6604 0.9746
Th 0.7810 0.7810 0.6649
Th 0.9868 0.9868 0.7921
Fe 0.5000 0.5000 0.0000
Co 0.1696 0.1696 0.7354
Co 0.8304 0.8304 0.2646

Summary:
- formation energy from the elements (eV/atom) = -0.140
- SG = No. 12


Record 3
Entry from the Alexandria database: a relaxed Cs2RbSnCl6 crystal (PBE).

Unit cell a=14.7971 b=14.7971 c=14.7971 alpha=31.86 beta=31.86 gamma=31.86
Fractional coordinates of all 20 atoms:
Cs 0.1432 0.1432 0.1432
Cs 0.2672 0.2672 0.2672
Cs 0.7328 0.7328 0.7328
Cs 0.8568 0.8568 0.8568
Rb 0.4087 0.4087 0.4087
Rb 0.5913 0.5913 0.5913
Sn 0.0000 0.0000 0.0000
Sn 0.5000 0.5000 0.5000
Cl 0.1278 0.6265 0.6265
Cl 0.1770 0.1770 0.7481
Cl 0.1770 0.7481 0.1770
Cl 0.2519 0.8230 0.8230
Cl 0.3735 0.3735 0.8722
Cl 0.3735 0.8722 0.3735
Cl 0.6265 0.1278 0.6265
Cl 0.6265 0.6265 0.1278
Cl 0.7481 0.1770 0.1770
Cl 0.8230 0.2519 0.8230
Cl 0.8230 0.8230 0.2519
Cl 0.8722 0.3735 0.3735

Summary:
- formation energy without anion corrections (eV per atom) = -1.58
- SG = No. 166


Record 4
Entry from the Alexandria database: a relaxed Tb4HfN5 crystal (PBE).

Unit cell a=5.9403 b=5.9403 c=5.9403 alpha=99.70 beta=99.70 gamma=131.52
Fractional coordinates of all 10 atoms:
Tb 0.1011 0.7005 0.8016
Tb 0.2995 0.1011 0.4006
Tb 0.7005 0.8989 0.5994
Tb 0.8989 0.2995 0.1984
Hf 0.4814 0.4814 0.0000
N 0.0257 0.0257 0.0000
N 0.2171 0.4053 0.6235
N 0.4053 0.7818 0.1882
N 0.5936 0.2171 0.8118
N 0.7818 0.5936 0.3765

Summary:
- formation energy without anion corrections (eV per atom) = -1.71
- SG = No. 79


Record 5
Entry from the Alexandria database: a relaxed KNa2Pd2 crystal (PBE).

Unit cell a=4.8168 b=4.8168 c=11.7804 alpha=90.00 beta=90.00 gamma=90.00
Fractional coordinates of all 10 atoms:
K 0.0000 0.0000 0.0000
K 0.5000 0.5000 0.5000
Na 0.0000 0.5000 0.2500
Na 0.0000 0.5000 0.7500
Na 0.5000 0.0000 0.2500
Na 0.5000 0.0000 0.7500
Pd 0.0000 0.0000 0.3888
Pd 0.0000 0.0000 0.6112
Pd 0.5000 0.5000 0.1112
Pd 0.5000 0.5000 0.8888

Summary:
- relative energy among the computed polymorphs (eV per atom) = 0.086
- formation energy from the elements (eV/atom) = 0.087
- SG = No. 139


Record 6
Entry from the Alexandria database: a relaxed Li4Mg5In crystal (PBE).

Unit cell a=7.5990 b=7.5990 c=6.6004 alpha=90.27 beta=90.27 gamma=35.92
Fractional coordinates of all 10 atoms:
Li 0.0100 0.0100 0.2574
Li 0.3443 0.3443 0.7384
Li 0.6557 0.6557 0.2616
Li 0.9900 0.9900 0.7426
Mg 0.1700 0.1700 0.5226
Mg 0.1758 0.1758 0.9990
Mg 0.5000 0.5000 0.0000
Mg 0.8242 0.8242 0.0010
Mg 0.8300 0.8300 0.4774
In 0.5000 0.5000 0.5000

Summary:
- relative energy among the computed polymorphs (eV per atom) = 0.000
- formation energy from the elements (eV/atom) = 0.034
- SG = No. 12


Record 7
Entry from the Alexandria database: a relaxed Ac4PaP6 crystal (PBE).

Unit cell a=8.5074 b=8.5074 c=8.5074 alpha=88.60 beta=88.60 gamma=88.60
Fractional coordinates of all 22 atoms:
Ac 0.1223 0.7500 0.3777
Ac 0.2500 0.2500 0.2500
Ac 0.2500 0.6223 0.8777
Ac 0.3777 0.1223 0.7500
Ac 0.6223 0.8777 0.2500
Ac 0.7500 0.3777 0.1223
Ac 0.7500 0.7500 0.7500
Ac 0.8777 0.2500 0.6223
Pa 0.0000 0.0000 0.0000
Pa 0.5000 0.5000 0.5000
P 0.0691 0.9153 0.6963
P 0.0847 0.3037 0.9309
P 0.1963 0.4153 0.5691
P 0.3037 0.9309 0.0847
P 0.4153 0.5691 0.1963
P 0.4309 0.8037 0.5847
P 0.5691 0.1963 0.4153
P 0.5847 0.4309 0.8037
P 0.6963 0.0691 0.9153
P 0.8037 0.5847 0.4309
P 0.9153 0.6963 0.0691
P 0.9309 0.0847 0.3037

Summary:
- formation energy from the elements (eV/atom) = -1.244
- SG = No. 167


Record 8
Entry from the Alexandria database: a relaxed Rb2ScRuF6 crystal (PBE).

Unit cell a=6.2852 b=6.2852 c=6.2852 alpha=119.39 beta=119.39 gamma=91.07
Fractional coordinates of all 10 atoms:
Rb 0.2500 0.7500 0.5000
Rb 0.7500 0.2500 0.5000
Sc 0.0000 0.0000 0.0000
Ru 0.5000 0.5000 0.0000
F 0.2268 0.2268 0.4536
F 0.2268 0.7732 0.0000
F 0.2319 0.2319 0.0000
F 0.7681 0.7681 0.0000
F 0.7732 0.2268 0.0000
F 0.7732 0.7732 0.5464

Summary:
- formation energy without anion corrections (eV per atom) = -2.58
- SG = No. 139


Record 9
Entry from the Alexandria database: a relaxed TbMn3 crystal (PBE).

Unit cell a=5.9525 b=5.9525 c=4.5930 alpha=90.00 beta=90.00 gamma=120.00
Fractional coordinates of all 8 atoms:
Tb 0.3333 0.6667 0.2500
Tb 0.6667 0.3333 0.7500
Mn 0.1493 0.2985 0.7500
Mn 0.1493 0.8507 0.7500
Mn 0.2985 0.1493 0.2500
Mn 0.7015 0.8507 0.7500
Mn 0.8507 0.1493 0.2500
Mn 0.8507 0.7015 0.2500

Summary:
- formation energy from the elements (eV/atom) = 0.301
- SG = No. 194


Record 10
Entry from the Alexandria database: a relaxed ReBrCl2 crystal (PBE).

Unit cell a=2.8951 b=5.8259 c=11.2035 alpha=90.00 beta=90.00 gamma=90.00
Fractional coordinates of all 8 atoms:
Re 0.0000 0.0000 0.0000
Re 0.5000 0.5000 0.0000
Br 0.0000 0.0000 0.5000
Br 0.5000 0.5000 0.5000
Cl 0.0000 0.5000 0.1690
Cl 0.0000 0.5000 0.8310
Cl 0.5000 0.0000 0.1690
Cl 0.5000 0.0000 0.8310

Summary:
- relative energy among the computed polymorphs (eV per atom) = 0.376
- formation energy without anion corrections (eV per atom) = 0.21
- SG = No. 65


Record 11
Entry from the Alexandria database: a relaxed Li2LaBIr crystal (PBE).

Unit cell a=4.3651 b=4.3651 c=4.2541 alpha=90.00 beta=90.00 gamma=90.00
Fractional coordinates of all 5 atoms:
Li 0.0000 0.5000 0.0000
Li 0.5000 0.0000 0.0000
La 0.0000 0.0000 0.5000
B 0.5000 0.5000 0.0000
Ir 0.5000 0.5000 0.5000

Summary:
- formation energy from the elements (eV/atom) = -0.232
- SG = No. 123


Record 12
Entry from the Alexandria database: a relaxed CeDy6Tm8 crystal (PBE).

Unit cell a=9.3368 b=9.3368 c=6.4370 alpha=90.00 beta=90.00 gamma=120.00
Fractional coordinates of all 15 atoms:
Ce 0.0000 0.0000 0.0000
Dy 0.0959 0.6818 0.0885
Dy 0.3182 0.4140 0.0885
Dy 0.4140 0.0959 0.9115
Dy 0.5860 0.9041 0.0885
Dy 0.6818 0.5860 0.9115
Dy 0.9041 0.3182 0.9115
Tm 0.0250 0.3383 0.4069
Tm 0.3134 0.9750 0.4069
Tm 0.3333 0.6667 0.6655
Tm 0.3383 0.3134 0.5931
Tm 0.6617 0.6866 0.4069
Tm 0.6667 0.3333 0.3345
Tm 0.6866 0.0250 0.5931
Tm 0.9750 0.6617 0.5931

Summary:
- relative energy among the computed polymorphs (eV per atom) = 0.122
- formation energy from the elements (eV/atom) = 0.254
- SG = No. 147


| no. | magnetization (μB/cell) |
| --- | --- |
| 1 | 0.0 |
| 2 | 0.0 |
| 3 | 0.0 |
| 4 | 0.0 |
| 5 | 0.0 |
| 6 | 0.0 |
| 7 | 0.0 |
| 8 | 3.0 |
| 9 | 19.4 |
| 10 | 0.0 |
| 11 | 0.0 |
| 12 | 1.2 |